Computed, not measured: a relaxed Er2Th3Fe2 crystal at the PBE level of DFT.

abc: 3.8583 9.2612 6.1955
angles: 61.01 71.84 90.02
Closest atoms and distances in Å follow each position.
Fractional coordinates of all 7 atoms:
Er 0.3912 0.6072 0.2174  1 Fe 2.88
Er 0.6088 0.3928 0.7826  1 Fe 2.88
Th 0.0000 0.0000 0.0000  4 Fe 2.87
Th 0.8360 0.2519 0.3276  3 Fe 2.60-2.75
Th 0.1640 0.7481 0.6724  3 Fe 2.60-2.75
Fe 0.6398 0.9189 0.7203  5 Th 2.60-2.87, 1 Er 2.88
Fe 0.3602 0.0811 0.2797  5 Th 2.60-2.87, 1 Er 2.88

Calculated values
As for the total moment: 0.000 μB/f.u. The symmetry is C2/m, No. 12. As for the total energy: -6.876 eV per atom. The energy of formation comes out at 0.03 eV/atom.